No. 1
ThSb2Pt9: relaxed, PBE.

Values from the calculation:
**Formation energy (no corrections)**: -5.46 eV per formula unit
**Total moment**: 0.0000 μB per atom
**Calculated total energy**: -6.291 eV/atom
**Space-group type**: P4/mmm

a b c (Å): 4.195 4.195 12.119
angles (deg): 90.00 90.00 90.00
Element x y z (fractional)
Pt (0.500, 0.000, 0.174)
Pt (0.500, 0.000, 0.826)
Pt (0.500, 0.500, 0.339)
Pt (0.500, 0.500, 0.000)
Pt (0.500, 0.500, 0.661)
Pt (0.000, 0.500, 0.174)
Pt (0.500, 0.000, 0.500)
Pt (0.000, 0.500, 0.500)
Pt (0.000, 0.500, 0.826)
Sb (0.000, 0.000, 0.660)
Sb (0.000, 0.000, 0.340)
Th (0.000, 0.000, 0.000)

---

No. 2
Fe2HgHPb: relaxed, PBE.

Values from the calculation:
**Total moment**: 1.1614 μB per atom
**Calculated total energy**: -3.895 eV/atom
**Space-group type**: P4/mmm

a b c (Å): 5.131 3.522 5.131
angles (deg): 90.00 90.00 90.00
Last column: magnetic moment on the atom in μB.
Element x y z (fractional)
H (0.000, 0.500, 0.000)  0.01
Fe (0.500, 0.000, 0.000)  2.83
Fe (0.000, 0.000, 0.500)  3.08
Hg (0.000, 0.000, 0.000)  -0.03
Pb (0.500, 0.500, 0.500)  -0.09

---

No. 3
Na3ReCl2F6: relaxed, PBE.

Values from the calculation:
**Formation energy (no corrections)**: -25.16 eV per formula unit
**Total moment**: 0.1667 μB per atom
**Calculated total energy**: -4.708 eV/atom
**Space-group type**: C2/m

a b c (Å): 4.679 7.025 7.751
angles (deg): 116.95 89.08 90.00
Last column: magnetic moment on the atom in μB.
Element x y z (fractional)
Na (0.500, 0.500, 0.500)  0.00
Na (0.000, 0.500, 0.000)  0.00
Na (0.500, 0.000, 0.500)  0.00
Re (0.500, 0.000, 0.000)  1.57
Cl (0.872, 0.315, 0.630)  0.00
Cl (0.128, 0.685, 0.370)  0.00
F (0.741, 0.246, 0.093)  0.05
F (0.259, 0.754, 0.907)  0.05
F (0.665, 0.870, 0.741)  0.06
F (0.335, 0.130, 0.259)  0.06
F (0.259, 0.153, 0.907)  0.05
F (0.741, 0.847, 0.093)  0.05

---

No. 4
Zn15Ag4Au: relaxed, PBE.

Values from the calculation:
**Total moment**: 0.0000 μB per atom
**Calculated total energy**: -1.701 eV/atom
**Formation energy from the elements**: -0.2 eV/f.u.
**Space-group type**: P4/mmm

a b c (Å): 4.006 4.006 19.365
angles (deg): 90.00 90.00 90.00
Element x y z (fractional)
Zn (0.500, 0.000, 0.100)
Zn (0.000, 0.500, 0.100)
Zn (0.500, 0.500, 0.199)
Zn (0.000, 0.500, 0.500)
Zn (0.000, 0.500, 0.700)
Zn (0.500, 0.000, 0.500)
Zn (0.500, 0.500, 0.600)
Zn (0.500, 0.500, 0.400)
Zn (0.000, 0.500, 0.900)
Zn (0.500, 0.500, 0.000)
Zn (0.500, 0.000, 0.900)
Zn (0.000, 0.500, 0.300)
Zn (0.500, 0.500, 0.801)
Zn (0.500, 0.000, 0.300)
Zn (0.500, 0.000, 0.700)
Ag (0.000, 0.000, 0.200)
Ag (0.000, 0.000, 0.600)
Ag (0.000, 0.000, 0.400)
Ag (0.000, 0.000, 0.800)
Au (0.000, 0.000, 0.000)

---

No. 5
YMn2Se4: relaxed, PBE.

Values from the calculation:
**Formation energy (no corrections)**: -6.49 eV per formula unit
**Total moment**: 1.2767 μB per atom
**Calculated total energy**: -6.462 eV/atom
**Space-group type**: Cmcm

a b c (Å): 3.861 6.579 12.683
angles (deg): 90.00 90.00 107.06
Last column: magnetic moment on the atom in μB.
Element x y z (fractional)
Se (0.500, 0.000, 0.000)  0.01
Se (0.500, 0.000, 0.500)  0.01
Se (0.052, 0.104, 0.250)  0.00
Se (0.948, 0.896, 0.750)  0.00
Se (0.776, 0.552, 0.387)  0.02
Se (0.776, 0.552, 0.113)  0.02
Se (0.224, 0.448, 0.613)  0.02
Se (0.224, 0.448, 0.887)  0.02
Y (0.615, 0.229, 0.750)  0.11
Y (0.385, 0.771, 0.250)  0.11
Mn (0.868, 0.736, 0.933)  4.03
Mn (0.132, 0.264, 0.067)  4.03
Mn (0.868, 0.736, 0.567)  4.03
Mn (0.132, 0.264, 0.433)  4.03

---

No. 6
PuU2Si6: relaxed, PBE.

Values from the calculation:
**Formation energy (no corrections)**: -3.34 eV per formula unit
**Total moment**: 0.0883 μB per atom
**Calculated total energy**: -8.087 eV/atom
**Space-group type**: P6/mmm

a b c (Å): 3.852 6.989 6.989
angles (deg): 120.00 90.00 90.00
Last column: magnetic moment on the atom in μB.
Element x y z (fractional)
Si (0.500, 0.000, 0.334)  0.01
Si (0.500, 0.666, 0.000)  0.01
Si (0.500, 0.334, 0.000)  0.01
Si (0.500, 0.666, 0.666)  0.01
Si (0.500, 0.334, 0.334)  0.01
Si (0.500, 0.000, 0.666)  0.01
Pu (0.000, 0.000, 0.000)  -5.00
U (0.000, 0.667, 0.333)  1.93
U (0.000, 0.333, 0.667)  1.93

---

No. 7
PaNbGa: relaxed, PBE.

Values from the calculation:
**Distance to the lowest polymorph of the same formula**: 16.2 meV/atom
**Total moment**: 0.0000 μB per atom
**Calculated total energy**: -7.527 eV/atom
**Formation energy from the elements**: 0.0 eV/f.u.
**Space-group type**: P3m1

a b c (Å): 3.044 3.044 7.626
angles (deg): 90.00 90.00 120.00
Element x y z (fractional)
Pa (0.333, 0.667, 0.662)
Nb (0.000, 0.000, 0.022)
Ga (0.667, 0.333, 0.316)

---

No. 8
TcHS: relaxed, PBE.

Values from the calculation:
**Distance to the lowest polymorph of the same formula**: 0.0 meV/atom
**Total moment**: 0.0000 μB per atom
**Calculated total energy**: -6.164 eV/atom
**Space-group type**: Cm

a b c (Å): 3.043 8.543 9.479
angles (deg): 90.14 80.77 79.74
Element x y z (fractional)
H (0.804, 0.473, 0.419)
H (0.856, 0.848, 0.940)
H (0.304, 0.973, 0.919)
H (0.356, 0.348, 0.440)
H (0.097, 0.255, 0.050)
H (0.597, 0.755, 0.550)
Tc (0.438, 0.780, 0.843)
Tc (0.838, 0.584, 0.240)
Tc (0.026, 0.839, 0.608)
Tc (0.338, 0.084, 0.740)
Tc (0.526, 0.339, 0.108)
Tc (0.938, 0.280, 0.343)
S (0.916, 0.115, 0.554)
S (0.583, 0.101, 0.233)
S (0.192, 0.754, 0.361)
S (0.416, 0.615, 0.054)
S (0.083, 0.601, 0.733)
S (0.692, 0.254, 0.861)